*a*
A plane-wave DFT calculation with GGA-PBE was carried out for a relaxed structure of Nb3RuSe.

a = 4.8319 Å, b = 4.8319 Å, c = 4.8319 Å
α = 90.00°, β = 90.00°, γ = 90.00°
Closest atoms and distances in Å follow each position.
Space group Pm-3m (No. 221)
Asymmetric unit:
Nb 0.0000 0.0000 0.5000 [3 per cell]  2 Ru 2.42
Ru 0.0000 0.0000 0.0000 [1 per cell]  6 Nb 2.42
Se 0.5000 0.5000 0.5000 [1 per cell]  12 Nb 3.42

## Properties
* V: 22.56 Å³/atom
* crystal system: cubic

---

*b*
A plane-wave DFT calculation with GGA-PBE was carried out for a relaxed structure of Nb3RuSe.

a = 4.6738 Å, b = 4.6738 Å, c = 4.6738 Å
α = 90.00°, β = 90.00°, γ = 90.00°
Closest atoms and distances in Å follow each position.
Space group Pm-3m (No. 221)
Asymmetric unit:
Nb 0.0000 0.0000 0.5000 [3 per cell]  2 Se 2.34
Ru 0.5000 0.5000 0.5000 [1 per cell]  12 Nb 3.30
Se 0.0000 0.0000 0.0000 [1 per cell]  6 Nb 2.34

## Properties
* V: 20.42 Å³/atom
* crystal system: cubic

---

The structure with the least stability is *a*.

---

*a*
A plane-wave DFT calculation with GGA-PBE was carried out for a relaxed structure of NbSi3Ru.

a = 4.5536 Å, b = 4.5536 Å, c = 4.5536 Å
α = 90.00°, β = 90.00°, γ = 90.00°
Closest atoms and distances in Å follow each position.
Space group Pm-3m (No. 221)
Asymmetric unit:
Nb 0.0000 0.0000 0.0000 [1 per cell]  12 Si 3.22
Si 0.0000 0.5000 0.5000 [3 per cell]  2 Ru 2.28
Ru 0.5000 0.5000 0.5000 [1 per cell]  6 Si 2.28

## Properties
* V: 18.88 Å³/atom
* crystal system: cubic

---

*b*
A plane-wave DFT calculation with GGA-PBE was carried out for a relaxed structure of NbSi3Ru.

a = 4.7592 Å, b = 4.7592 Å, c = 4.7592 Å
α = 90.00°, β = 90.00°, γ = 90.00°
Closest atoms and distances in Å follow each position.
Space group Pm-3m (No. 221)
Asymmetric unit:
Nb 0.0000 0.0000 0.0000 [1 per cell]  6 Si 2.38
Si 0.0000 0.0000 0.5000 [3 per cell]  2 Nb 2.38
Ru 0.5000 0.5000 0.5000 [1 per cell]  12 Si 3.37

## Properties
* V: 21.56 Å³/atom
* crystal system: cubic

---

The structure with the least stability is *b*.

---

*a*
A plane-wave DFT calculation with GGA-PBE was carried out for a relaxed structure of NbSn2Ru.

a = 3.0690 Å, b = 3.0690 Å, c = 30.3080 Å
α = 90.00°, β = 90.00°, γ = 120.00°
Closest atoms and distances in Å follow each position.
Space group R-3m (No. 166, hexagonal axes)
Asymmetric unit:
Nb 0.0000 0.0000 0.0000 [3 per cell]  6 Sn 3.00, 6 Nb 3.07
Sn 0.0000 0.0000 0.4130 [6 per cell]  1 Ru 2.64
Ru 0.0000 0.0000 0.5000 [3 per cell]  2 Sn 2.64

## Properties
* V: 20.60 Å³/atom
* crystal system: trigonal

---

*b*
A plane-wave DFT calculation with GGA-PBE was carried out for a relaxed structure of NbSn2Ru.

a = 6.6927 Å, b = 6.6927 Å, c = 6.6927 Å
α = 90.00°, β = 90.00°, γ = 90.00°
Closest atoms and distances in Å follow each position.
Space group Fm-3m (No. 225)
Asymmetric unit:
Nb 0.0000 0.0000 0.0000 [4 per cell]  8 Sn 2.90
Sn 0.2500 0.2500 0.2500 [8 per cell]  4 Nb 2.90, 4 Ru 2.90
Ru 0.0000 0.0000 0.5000 [4 per cell]  8 Sn 2.90

## Properties
* V: 18.74 Å³/atom
* crystal system: cubic

---

*c*
A plane-wave DFT calculation with GGA-PBE was carried out for a relaxed structure of NbSn2Ru.

a = 4.1167 Å, b = 4.1167 Å, c = 19.6071 Å
α = 90.00°, β = 90.00°, γ = 90.00°
Closest atoms and distances in Å follow each position.
Space group I-42d (No. 122)
Asymmetric unit:
Nb 0.0000 0.0000 0.0000 [4 per cell]  4 Sn 2.86, 4 Ru 2.91
Sn 0.2425 0.2500 0.6250 [8 per cell]  2 Ru 2.84, 2 Nb 2.86, 4 Sn 2.87-2.96
Ru 0.0000 0.0000 0.5000 [4 per cell]  4 Sn 2.84, 4 Nb 2.91

## Properties
* V: 20.77 Å³/atom
* crystal system: tetragonal

---

The structure with the least stability is *a*.

---

*a*
A plane-wave DFT calculation with GGA-PBE was carried out for a relaxed structure of NbSnRu3.

a = 4.7197 Å, b = 4.7197 Å, c = 4.7197 Å
α = 90.00°, β = 90.00°, γ = 90.00°
Closest atoms and distances in Å follow each position.
Space group Pm-3m (No. 221)
Asymmetric unit:
Nb 0.0000 0.0000 0.0000 [1 per cell]  6 Ru 2.36
Sn 0.5000 0.5000 0.5000 [1 per cell]  12 Ru 3.34
Ru 0.0000 0.0000 0.5000 [3 per cell]  2 Nb 2.36

## Properties
* V: 21.03 Å³/atom
* crystal system: cubic

---

*b*
A plane-wave DFT calculation with GGA-PBE was carried out for a relaxed structure of NbSnRu3.

a = 4.7169 Å, b = 4.7169 Å, c = 4.7169 Å
α = 90.00°, β = 90.00°, γ = 90.00°
Closest atoms and distances in Å follow each position.
Space group Pm-3m (No. 221)
Asymmetric unit:
Nb 0.0000 0.0000 0.0000 [1 per cell]  12 Ru 3.34
Sn 0.5000 0.5000 0.5000 [1 per cell]  6 Ru 2.36
Ru 0.0000 0.5000 0.5000 [3 per cell]  2 Sn 2.36

## Properties
* V: 20.99 Å³/atom
* crystal system: cubic

---

The structure with the least stability is *b*.

---

*a*
A plane-wave DFT calculation with GGA-PBE was carried out for a relaxed structure of Nb3SnRu.

a = 5.4986 Å, b = 8.6189 Å, c = 8.0411 Å
α = 90.00°, β = 90.00°, γ = 90.00°
Closest atoms and distances in Å follow each position.
Space group Pnma (No. 62)
Asymmetric unit:
Nb 0.0514 0.0556 0.1781 [8 per cell]  2 Ru 2.65-2.89, 1 Nb 2.76
Nb 0.2422 0.2500 0.4933 [4 per cell]  2 Ru 2.53, 2 Nb 2.76
Sn 0.2328 0.2500 0.8796 [4 per cell]  2 Ru 2.78, 7 Nb 2.88-3.11
Ru 0.0000 0.0000 0.5000 [4 per cell]  4 Nb 2.53-2.65, 2 Sn 2.78

## Properties
* V: 19.05 Å³/atom
* crystal system: orthorhombic

---

*b*
A plane-wave DFT calculation with GGA-PBE was carried out for a relaxed structure of Nb3SnRu.

a = 4.9526 Å, b = 4.9526 Å, c = 4.9526 Å
α = 90.00°, β = 90.00°, γ = 90.00°
Closest atoms and distances in Å follow each position.
Space group Pm-3m (No. 221)
Asymmetric unit:
Nb 0.0000 0.0000 0.5000 [3 per cell]  2 Sn 2.48
Sn 0.0000 0.0000 0.0000 [1 per cell]  6 Nb 2.48
Ru 0.5000 0.5000 0.5000 [1 per cell]  12 Nb 3.50

## Properties
* V: 24.30 Å³/atom
* crystal system: cubic

---

*c*
A plane-wave DFT calculation with GGA-PBE was carried out for a relaxed structure of Nb3SnRu.

a = 4.8221 Å, b = 4.8221 Å, c = 4.8221 Å
α = 90.00°, β = 90.00°, γ = 90.00°
Closest atoms and distances in Å follow each position.
Space group Pm-3m (No. 221)
Asymmetric unit:
Nb 0.0000 0.0000 0.5000 [3 per cell]  2 Ru 2.41
Sn 0.5000 0.5000 0.5000 [1 per cell]  12 Nb 3.41
Ru 0.0000 0.0000 0.0000 [1 per cell]  6 Nb 2.41

## Properties
* V: 22.43 Å³/atom
* crystal system: cubic

---

The structure with the least stability is *b*.

---

*a*
A plane-wave DFT calculation with GGA-PBE was carried out for a relaxed structure of SrNb2Ru2.

a = 4.4038 Å, b = 4.4038 Å, c = 11.0692 Å
α = 90.00°, β = 90.00°, γ = 90.00°
Closest atoms and distances in Å follow each position.
Space group I4/mmm (No. 139)
Asymmetric unit:
Sr 0.0000 0.0000 0.0000 [2 per cell]  8 Ru 3.40, 8 Nb 3.54
Nb 0.0000 0.5000 0.2500 [4 per cell]  4 Ru 2.61
Ru 0.0000 0.0000 0.3763 [4 per cell]  4 Nb 2.61, 1 Ru 2.74

## Properties
* V: 21.47 Å³/atom
* crystal system: tetragonal

---

*b*
A plane-wave DFT calculation with GGA-PBE was carried out for a relaxed structure of SrNb2Ru2.

a = 8.0175 Å, b = 8.0175 Å, c = 3.0068 Å
α = 90.00°, β = 90.00°, γ = 90.00°
Closest atoms and distances in Å follow each position.
Space group P4/mbm (No. 127)
Asymmetric unit:
Sr 0.0000 0.0000 0.0000 [2 per cell]  2 Sr 3.01, 4 Ru 3.09
Nb 0.1428 0.3572 0.5000 [4 per cell]  6 Ru 2.73-2.87, 2 Nb 3.01
Ru 0.1418 0.6418 0.0000 [4 per cell]  6 Nb 2.73-2.87, 2 Ru 3.01

## Properties
* V: 19.33 Å³/atom
* crystal system: tetragonal

---

The structure with the least stability is *b*.

---

*a*
A plane-wave DFT calculation with GGA-PBE was carried out for a relaxed structure of TaNbRu.

a = 8.5798 Å, b = 8.8756 Å, c = 12.3214 Å
α = 90.00°, β = 90.00°, γ = 90.00°
Closest atoms and distances in Å follow each position.
Space group Fddd (No. 70, origin choice 2)
Asymmetric unit:
Ta 0.1250 0.1250 0.0003 [16 per cell]  4 Ru 2.64-2.66
Nb 0.1250 0.1250 0.5036 [16 per cell]  4 Ru 2.67-2.71
Ru 0.1250 0.3698 0.1250 [16 per cell]  4 Ta 2.64-2.66, 4 Nb 2.67-2.71

## Properties
* V: 19.55 Å³/atom
* crystal system: orthorhombic

---

*b*
A plane-wave DFT calculation with GGA-PBE was carried out for a relaxed structure of TaNbRu.

a = 23.1966 Å, b = 3.0046 Å, c = 3.0059 Å
α = 90.00°, β = 92.23°, γ = 90.00°
Closest atoms and distances in Å follow each position.
Space group Cm (No. 8)
Asymmetric unit:
Ta 0.0000 0.0000 0.0000 [2 per cell]  8 Ru 2.66-2.68
Ta 0.1502 0.0000 0.0317 [2 per cell]  4 Ru 2.80-2.84, 2 Nb 2.83-2.93, 4 Ta 3.00-3.01
Nb 0.2561 0.0000 0.5331 [2 per cell]  2 Ta 2.83-2.93, 6 Nb 2.92-3.01
Nb 0.3507 0.5000 0.9598 [2 per cell]  4 Ru 2.81-2.82, 6 Nb 2.92-3.01
Ru 0.0704 0.5000 0.5202 [2 per cell]  8 Ta 2.68-2.84
Ru 0.4306 0.0000 0.4802 [2 per cell]  4 Ta 2.66-2.67, 4 Nb 2.81-2.82

## Properties
* V: 17.45 Å³/atom
* crystal system: monoclinic

---

*c*
A plane-wave DFT calculation with GGA-PBE was carried out for a relaxed structure of TaNbRu.

a = 4.5355 Å, b = 4.5355 Å, c = 5.5826 Å
α = 90.00°, β = 90.00°, γ = 120.00°
Closest atoms and distances in Å follow each position.
Space group P3m1 (No. 156)
Asymmetric unit:
Ta 0.0000 0.0000 0.0000 [1 per cell]  6 Ru 2.77, 2 Nb 2.79
Ta 0.3333 0.6667 0.3297 [1 per cell]  5 Ru 2.74-2.84, 3 Nb 2.79
Nb 0.0000 0.0000 0.4998 [1 per cell]  3 Nb 2.77, 5 Ta 2.79
Nb 0.6667 0.3333 0.6641 [1 per cell]  3 Nb 2.77, 5 Ru 2.78-2.80
Ru 0.3333 0.6667 0.8381 [1 per cell]  5 Ta 2.74-2.84, 3 Nb 2.79
Ru 0.6667 0.3333 0.1617 [1 per cell]  6 Ta 2.77-2.78, 2 Nb 2.78-2.80

## Properties
* V: 16.58 Å³/atom
* crystal system: trigonal

---

*d*
A plane-wave DFT calculation with GGA-PBE was carried out for a relaxed structure of TaNbRu.

a = 4.4824 Å, b = 4.4824 Å, c = 2.8786 Å
α = 90.00°, β = 90.00°, γ = 120.00°
Closest atoms and distances in Å follow each position.
Space group P3m1 (No. 156)
Asymmetric unit:
Ta 0.0000 0.0000 0.0000 [1 per cell]  3 Ru 2.75, 3 Nb 2.78, 2 Ta 2.88
Nb 0.3333 0.6667 0.6478 [1 per cell]  3 Ru 2.75, 3 Ta 2.78, 2 Nb 2.88
Ru 0.6667 0.3333 0.3206 [1 per cell]  3 Ta 2.75, 3 Nb 2.75, 2 Ru 2.88

## Properties
* V: 16.70 Å³/atom
* crystal system: trigonal

---

The structure with the least stability is *a*.

---

*a*
A plane-wave DFT calculation with GGA-PBE was carried out for a relaxed structure of Ta4Nb5Ru.

a = 3.2738 Å, b = 3.2738 Å, c = 16.5698 Å
α = 90.00°, β = 90.00°, γ = 90.00°
Closest atoms and distances in Å follow each position.
Space group P4/mmm (No. 123)
Asymmetric unit:
Ta 0.0000 0.0000 0.1014 [2 per cell]  8 Nb 2.86-2.88
Ta 0.0000 0.0000 0.3035 [2 per cell]  8 Nb 2.84-2.86
Nb 0.5000 0.5000 0.0000 [1 per cell]  8 Ta 2.86
Nb 0.5000 0.5000 0.2045 [2 per cell]  8 Ta 2.84-2.88
Nb 0.5000 0.5000 0.4052 [2 per cell]  4 Ru 2.80, 4 Ta 2.86
Ru 0.0000 0.0000 0.5000 [1 per cell]  8 Nb 2.80

## Properties
* V: 17.76 Å³/atom
* crystal system: tetragonal

---

*b*
A plane-wave DFT calculation with GGA-PBE was carried out for a relaxed structure of Ta4Nb5Ru.

a = 14.7723 Å, b = 4.3945 Å, c = 6.4722 Å
α = 90.00°, β = 112.17°, γ = 90.00°
Closest atoms and distances in Å follow each position.
Space group C2/m (No. 12)
Asymmetric unit:
Ta 0.0035 0.0000 0.2611 [4 per cell]  2 Ru 2.70, 5 Nb 2.76-2.92
Ta 0.1637 0.5000 0.4282 [4 per cell]  1 Ru 2.63, 7 Nb 2.77-2.91
Nb 0.0000 0.5000 0.0000 [2 per cell]  6 Ta 2.76-2.91
Nb 0.1733 0.0000 0.1441 [4 per cell]  3 Nb 2.81-2.95, 5 Ta 2.88-2.92
Nb 0.1828 0.0000 0.7190 [4 per cell]  4 Ta 2.77-2.84, 3 Nb 2.81-2.95
Ru 0.0000 0.5000 0.5000 [2 per cell]  6 Ta 2.63-2.70

## Properties
* V: 19.45 Å³/atom
* crystal system: monoclinic

---

The structure with the least stability is *b*.

---

*a*
A plane-wave DFT calculation with GGA-PBE was carried out for a relaxed structure of TaNb6Ru.

a = 9.5889 Å, b = 9.5889 Å, c = 5.4514 Å
α = 90.00°, β = 90.00°, γ = 120.00°
Closest atoms and distances in Å follow each position.
Space group R-3m (No. 166, hexagonal axes)
Asymmetric unit:
Ta 0.0000 0.0000 0.0000 [3 per cell]  2 Ru 2.73, 6 Nb 2.84
Nb 0.0046 0.5023 0.2523 [18 per cell]  6 Nb 2.70-2.94, 1 Ru 2.77, 1 Ta 2.84
Ru 0.0000 0.0000 0.5000 [3 per cell]  2 Ta 2.73, 6 Nb 2.77

## Properties
* V: 18.09 Å³/atom
* crystal system: trigonal

---

*b*
A plane-wave DFT calculation with GGA-PBE was carried out for a relaxed structure of TaNb6Ru.

a = 4.6255 Å, b = 4.6255 Å, c = 13.1520 Å
α = 90.00°, β = 90.00°, γ = 90.00°
Closest atoms and distances in Å follow each position.
Space group I4/mmm (No. 139)
Asymmetric unit:
Ta 0.0000 0.0000 0.0000 [2 per cell]  8 Nb 2.82
Nb 0.0000 0.0000 0.2460 [4 per cell]  8 Nb 2.82-2.88
Nb 0.0000 0.5000 0.1232 [8 per cell]  4 Nb 2.82-2.88, 2 Ru 2.82, 2 Ta 2.82
Ru 0.0000 0.0000 0.5000 [2 per cell]  8 Nb 2.82

## Properties
* V: 17.59 Å³/atom
* crystal system: tetragonal

---

The structure with the least stability is *a*.

---

*a*
A plane-wave DFT calculation with GGA-PBE was carried out for a relaxed structure of Ta2NbRu.

a = 6.4602 Å, b = 6.4602 Å, c = 6.4602 Å
α = 90.00°, β = 90.00°, γ = 90.00°
Closest atoms and distances in Å follow each position.
Space group Fm-3m (No. 225)
Asymmetric unit:
Ta 0.2500 0.2500 0.2500 [8 per cell]  4 Nb 2.80, 4 Ru 2.80
Nb 0.0000 0.0000 0.0000 [4 per cell]  8 Ta 2.80
Ru 0.0000 0.0000 0.5000 [4 per cell]  8 Ta 2.80

## Properties
* V: 16.85 Å³/atom
* crystal system: cubic

---

*b*
A plane-wave DFT calculation with GGA-PBE was carried out for a relaxed structure of Ta2NbRu.

a = 4.5833 Å, b = 4.5833 Å, c = 3.2219 Å
α = 90.00°, β = 90.00°, γ = 90.00°
Closest atoms and distances in Å follow each position.
Space group P4/mmm (No. 123)
Asymmetric unit:
Ta 0.0000 0.5000 0.0000 [2 per cell]  4 Nb 2.80, 4 Ru 2.80
Nb 0.0000 0.0000 0.5000 [1 per cell]  8 Ta 2.80
Ru 0.5000 0.5000 0.5000 [1 per cell]  8 Ta 2.80

## Properties
* V: 16.92 Å³/atom
* crystal system: tetragonal

---

*c*
A plane-wave DFT calculation with GGA-PBE was carried out for a relaxed structure of Ta2NbRu.

a = 7.3144 Å, b = 7.3144 Å, c = 5.5242 Å
α = 90.00°, β = 90.00°, γ = 90.00°
Closest atoms and distances in Å follow each position.
Space group I-42d (No. 122)
Asymmetric unit:
Ta 0.2248 0.7500 0.1250 [8 per cell]  2 Ru 2.55, 2 Ta 2.79, 2 Nb 2.81
Nb 0.0000 0.0000 0.5000 [4 per cell]  2 Ru 2.76, 4 Ta 2.81
Ru 0.0000 0.0000 0.0000 [4 per cell]  4 Ta 2.55, 2 Nb 2.76

## Properties
* V: 18.47 Å³/atom
* crystal system: tetragonal

---

The structure with the least stability is *c*.